Record 1
Compound: Mg5Tl4
Source: the Alexandria database
Functional: PBE
Structure: optimized geometry

Structure (CIF):
```
data_Mg5Tl4
_symmetry_space_group_name_H-M 'P 63/m c m'
_symmetry_Int_Tables_number 193
_symmetry_space_group_name_Hall '-P 6c 2'
_cell_length_a 9.0587
_cell_length_b 9.0587
_cell_length_c 6.2836
_cell_angle_alpha 90.00
_cell_angle_beta 90.00
_cell_angle_gamma 120.00
loop_
_atom_site_label
_atom_site_type_symbol
_atom_site_fract_x
_atom_site_fract_y
_atom_site_fract_z
Mg1 Mg 0.0000 0.3031 0.2500
Mg2 Mg 0.3333 0.6667 0.0000
Tl1 Tl 0.0000 0.0000 0.0000
Tl2 Tl 0.0000 0.3690 0.7500
```

Output
E above lowest polymorph	0	meV per atom
formation energy	-0.01	eV/atom

***

Record 2
Compound: LiLa6Sn
Source: the Alexandria database
Functional: PBE
Structure: optimized geometry

Structure (CIF):
```
data_LiLa6Sn
_symmetry_space_group_name_H-M 'C 1 2/m 1'
_symmetry_Int_Tables_number 12
_symmetry_space_group_name_Hall '-C 2y'
_cell_length_a 19.5803
_cell_length_b 5.3031
_cell_length_c 5.3031
_cell_angle_alpha 90.00
_cell_angle_beta 105.66
_cell_angle_gamma 90.00
loop_
_atom_site_label
_atom_site_type_symbol
_atom_site_fract_x
_atom_site_fract_y
_atom_site_fract_z
Li1 Li 0.0000 0.0000 0.0000
La1 La 0.1125 0.0000 0.6127
La2 La 0.1125 0.5000 0.1125
La3 La 0.2482 0.0000 0.2491
Sn1 Sn 0.0000 0.5000 0.5000
```

Output
formation energy	-0.20	eV/atom

***

Record 3
Compound: VInBiS2
Source: the Alexandria database
Functional: PBE
Structure: optimized geometry

Structure (CIF):
```
data_VInBiS2
_symmetry_space_group_name_H-M 'P 4/m m m'
_symmetry_Int_Tables_number 123
_symmetry_space_group_name_Hall '-P 4 2'
_cell_length_a 4.5115
_cell_length_b 4.5115
_cell_length_c 5.8260
_cell_angle_alpha 90.00
_cell_angle_beta 90.00
_cell_angle_gamma 90.00
loop_
_atom_site_label
_atom_site_type_symbol
_atom_site_fract_x
_atom_site_fract_y
_atom_site_fract_z
V1 V 0.0000 0.0000 0.0000
In1 In 0.5000 0.5000 0.5000
Bi1 Bi 0.0000 0.0000 0.5000
S1 S 0.0000 0.5000 0.0000
```

Output
uncorrected formation energy	-189	meV per atom

***

Record 4
Compound: ThCoB
Source: the Alexandria database
Functional: PBE
Structure: optimized geometry

Structure (CIF):
```
data_ThCoB
_symmetry_space_group_name_H-M 'P -6 m 2'
_symmetry_Int_Tables_number 187
_symmetry_space_group_name_Hall 'P -6 2'
_cell_length_a 3.6794
_cell_length_b 3.6794
_cell_length_c 4.0475
_cell_angle_alpha 90.00
_cell_angle_beta 90.00
_cell_angle_gamma 120.00
loop_
_atom_site_label
_atom_site_type_symbol
_atom_site_fract_x
_atom_site_fract_y
_atom_site_fract_z
Th1 Th 0.0000 0.0000 0.0000
Co1 Co 0.3333 0.6667 0.5000
B1 B 0.6667 0.3333 0.5000
```

Output
E above lowest polymorph	34	meV per atom
formation energy	-0.32	eV/atom

***

Record 5
Compound: Li2V3Pd8
Source: the Alexandria database
Functional: PBE
Structure: optimized geometry

Structure (CIF):
```
data_Li2V3Pd8
_symmetry_space_group_name_H-M 'C 1 2/m 1'
_symmetry_Int_Tables_number 12
_symmetry_space_group_name_Hall '-C 2y'
_cell_length_a 12.2234
_cell_length_b 8.1644
_cell_length_c 3.9696
_cell_angle_alpha 90.00
_cell_angle_beta 90.04
_cell_angle_gamma 90.00
loop_
_atom_site_label
_atom_site_type_symbol
_atom_site_fract_x
_atom_site_fract_y
_atom_site_fract_z
Li1 Li 0.2428 0.0000 0.4993
V1 V 0.0000 0.2744 0.0000
V2 V 0.0000 0.5000 0.5000
Pd1 Pd 0.1141 0.0000 0.9998
Pd2 Pd 0.1331 0.2456 0.5002
Pd3 Pd 0.1465 0.5000 0.0004
```

Output
formation energy	-0.11	eV/atom

***

Record 6
Compound: TlPtW2
Source: the Alexandria database
Functional: PBE
Structure: optimized geometry

Structure (CIF):
```
data_TlPtW2
_symmetry_space_group_name_H-M 'P 4 m m'
_symmetry_Int_Tables_number 99
_symmetry_space_group_name_Hall 'P 4 -2'
_cell_length_a 3.3539
_cell_length_b 3.3539
_cell_length_c 6.3130
_cell_angle_alpha 90.00
_cell_angle_beta 90.00
_cell_angle_gamma 90.00
loop_
_atom_site_label
_atom_site_type_symbol
_atom_site_fract_x
_atom_site_fract_y
_atom_site_fract_z
Tl1 Tl 0.0000 0.0000 0.0000
Pt1 Pt 0.5000 0.5000 0.7472
W1 W 0.0000 0.0000 0.4909
W2 W 0.5000 0.5000 0.2918
```

Output
E above lowest polymorph	51	meV per atom
formation energy	0.43	eV/atom

***

Record 7
Compound: LaYZr2
Source: the Alexandria database
Functional: PBE
Structure: optimized geometry

Structure (CIF):
```
data_LaYZr2
_symmetry_space_group_name_H-M 'P 4/m m m'
_symmetry_Int_Tables_number 123
_symmetry_space_group_name_Hall '-P 4 2'
_cell_length_a 4.7840
_cell_length_b 4.7840
_cell_length_c 4.8366
_cell_angle_alpha 90.00
_cell_angle_beta 90.00
_cell_angle_gamma 90.00
loop_
_atom_site_label
_atom_site_type_symbol
_atom_site_fract_x
_atom_site_fract_y
_atom_site_fract_z
La1 La 0.0000 0.0000 0.0000
Y1 Y 0.5000 0.5000 0.0000
Zr1 Zr 0.0000 0.5000 0.5000
```

Output
E above lowest polymorph	62	meV per atom
formation energy	0.17	eV/atom

***

Record 8
Compound: Pm5DySe8
Source: the Alexandria database
Functional: PBE
Structure: optimized geometry

Structure (CIF):
```
data_Pm5DySe8
_symmetry_space_group_name_H-M 'I -4'
_symmetry_Int_Tables_number 82
_symmetry_space_group_name_Hall 'I -4'
_cell_length_a 9.0135
_cell_length_b 9.0135
_cell_length_c 8.6732
_cell_angle_alpha 90.00
_cell_angle_beta 90.00
_cell_angle_gamma 90.00
loop_
_atom_site_label
_atom_site_type_symbol
_atom_site_fract_x
_atom_site_fract_y
_atom_site_fract_z
Pm1 Pm 0.0000 0.0000 0.0000
Pm2 Pm 0.1521 0.2524 0.3756
Dy1 Dy 0.0000 0.5000 0.7500
Se1 Se 0.0651 0.1806 0.6966
Se2 Se 0.0697 0.3264 0.0536
```

Output
uncorrected formation energy	-1839	meV per atom